Gd2PaSn | GGA-PBE | optimized geometry

```
Gd2PaSn
1.0
3.865 0.000 0.000
0.000 3.865 0.000
0.000 0.000 7.282
Gd Pa Sn
2 1 1
Cartesian
0.000 0.000 5.596 Gd
0.000 0.000 1.686 Gd
1.933 1.933 3.641 Pa
1.933 1.933 0.000 Sn
```

Output
As for the uncorrected energy: -10.57 eV/atom. The value obtained for the excess energy over the best structure of this formula in the dataset is 45 meV/atom. For the formation energy, the calculation gives -0.6 eV/f.u. The value obtained for the volume is 109 Å³/cell. For the density of states at the Fermi level, the calculation gives 4.377 states/eV per cell.